Cs2RuNCl6 PBE optimized geometry; SG = I4/mmm, No. 139; total magnetization = 5.0 μB per formula unit; raw formation energy = -581 kJ/mol of formula units; raw total energy = -36.41 eV/f.u.
1.0
-3.793 3.793 5.372
3.793 -3.793 5.372
3.793 3.793 -5.372
Cs Ru N Cl
2 1 1 6
Direct
0.250 0.750 0.500 Cs
0.750 0.250 0.500 Cs
0.000 0.000 0.000 Ru
0.500 0.500 0.000 N
0.219 0.219 0.000 Cl
0.220 0.220 0.439 Cl
0.220 0.780 0.000 Cl
0.780 0.220 0.000 Cl
0.780 0.780 0.561 Cl
0.781 0.781 0.000 Cl

AlAs3 PBE optimized geometry; SG = R-3m, No. 166; total magnetization = 0.0 μB per formula unit; distance to the lowest polymorph of the same formula = 394 meV/atom; formation enthalpy at 0 K = 0.294 eV/atom; raw total energy = -16.52 eV/f.u.
1.0
4.618 2.666 1.007
-4.618 2.666 1.007
0.000 -5.332 1.007
Al As
1 3
Direct
0.000 0.000 0.000 Al
0.000 0.500 0.500 As
0.500 0.000 0.500 As
0.500 0.500 0.000 As

Ni2MoRh PBE optimized geometry; SG = F-43m, No. 216; total magnetization = 0.0 μB per formula unit; distance to the lowest polymorph of the same formula = 207 meV/atom; formation enthalpy at 0 K = 0.078 eV/atom; raw total energy = -29.43 eV/f.u.
1.0
0.000 2.975 2.975
2.975 0.000 2.975
2.975 2.975 0.000
Ni Mo Rh
2 1 1
Direct
0.000 0.000 0.000 Ni
0.250 0.250 0.250 Ni
0.750 0.750 0.750 Mo
0.500 0.500 0.500 Rh

Ac6Ni2RhCl3 PBE optimized geometry; SG = C2/m, No. 12; total magnetization = 0.0 μB per formula unit; raw formation energy = -1208 kJ/mol of formula units; raw total energy = -61.63 eV/f.u.
1.0
10.103 -2.156 0.000
10.103 2.156 0.000
-3.209 0.000 8.819
Ac Ni Rh Cl
6 2 1 3
Direct
0.011 0.011 0.224 Ac
0.323 0.323 0.445 Ac
0.344 0.344 0.887 Ac
0.656 0.656 0.113 Ac
0.677 0.677 0.555 Ac
0.989 0.989 0.776 Ac
0.168 0.168 0.335 Ni
0.832 0.832 0.665 Ni
0.500 0.500 0.000 Rh
0.167 0.167 0.829 Cl
0.500 0.500 0.500 Cl
0.833 0.833 0.171 Cl

BaNd2Pu PBE optimized geometry; SG = P4/mmm, No. 123; total magnetization = 6.1 μB per formula unit; formation enthalpy at 0 K = 0.216 eV/atom; raw total energy = -24.93 eV/f.u.
1.0
3.722 0.000 0.000
0.000 3.722 0.000
0.000 0.000 10.857
Ba Nd Pu
1 2 1
Direct
0.000 0.000 0.000 Ba
0.500 0.500 0.289 Nd
0.500 0.500 0.711 Nd
0.000 0.000 0.500 Pu

Be2HgTe PBE optimized geometry; SG = I4/mmm, No. 139; total magnetization = 0.0 μB per formula unit; distance to the lowest polymorph of the same formula = 440 meV/atom; raw formation energy = 300 kJ/mol of formula units; raw total energy = -7.78 eV/f.u.
1.0
-2.222 2.222 3.710
2.222 -2.222 3.710
2.222 2.222 -3.710
Be Hg Te
2 1 1
Direct
0.250 0.750 0.500 Be
0.750 0.250 0.500 Be
0.000 0.000 0.000 Hg
0.500 0.500 0.000 Te